[1]
Density functional theory data (GGA-PBE) for a relaxed YInSn2Cl8 crystal.

a = 6.8745 Å, b = 6.4644 Å, c = 8.9678 Å
α = 88.22°, β = 86.65°, γ = 88.23°
With the nearest neighbours (Å) after each atom.
Element x y z (fractional)
In 0.0000 0.0000 0.5000  6 Cl 3.14-3.16
Cl 0.3600 0.2804 0.5407  1 Sn 2.57
Cl 0.6400 0.7196 0.4593  1 Sn 2.57
Cl 0.3131 0.2406 0.9654  1 Y 2.69, 1 Sn 2.74
Y 0.0000 0.0000 0.0000  6 Cl 2.65-2.69
Cl 0.8238 0.2163 0.7883  1 Y 2.65, 1 Sn 2.92
Sn 0.4863 0.4948 0.7497  3 Cl 2.57-2.86
Cl 0.8594 0.2491 0.2150  1 Y 2.67, 1 Sn 2.86
Cl 0.6869 0.7594 0.0346  1 Y 2.69, 1 Sn 2.74
Cl 0.1762 0.7837 0.2117  1 Y 2.65, 1 Sn 2.92
Cl 0.1406 0.7509 0.7850  1 Y 2.67, 1 Sn 2.86
Sn 0.5137 0.5052 0.2503  3 Cl 2.57-2.86

Properties
- mass density (g cm⁻³) = 3.0
- SG = P-1 (2)
- crystal system = triclinic
- formation energy from raw total energies (eV/atom) = -1.387

[2]
Density functional theory data (GGA-PBE) for a relaxed ZnIn2SnCl6 crystal.

a = 7.7483 Å, b = 8.0949 Å, c = 7.7485 Å
α = 71.93°, β = 56.65°, γ = 57.06°
With the nearest neighbours (Å) after each atom.
Element x y z (fractional)
Zn 0.3333 0.2210 0.1399  4 Cl 2.28-2.32
Cl 0.0587 0.5507 0.2086  1 Zn 2.32
In 0.0331 0.1031 0.8808  4 Cl 3.09-3.27
Cl 0.6018 0.1586 0.7934  1 Zn 2.31
Cl 0.4995 0.7025 0.7393  1 Sn 2.56
Sn 0.8418 0.7808 0.5348  3 Cl 2.56-2.74
Cl 0.5566 0.1182 0.2948  1 Zn 2.29
In 0.5647 0.4516 0.4485  4 Cl 3.00-3.31
Cl 0.1195 0.0644 0.2400  1 Zn 2.28
Cl 0.0525 0.5106 0.7351  1 Sn 2.58

Properties
- mass density (g cm⁻³) = 3.1
- SG = P1 (1)
- crystal system = triclinic
- formation energy from raw total energies (eV/atom) = -0.962

[3]
Density functional theory data (GGA-PBE) for a relaxed Zn2InSnCl6 crystal.

a = 9.3800 Å, b = 9.3800 Å, c = 9.0719 Å
α = 96.00°, β = 96.00°, γ = 114.35°
With the nearest neighbours (Å) after each atom.
Element x y z (fractional)
Cl 0.3441 0.6078 0.4289  2 Zn 2.38-2.40
Cl 0.5625 0.9828 0.7079  1 Zn 2.28
Cl 0.1220 0.2347 0.1048  1 Zn 2.22
Sn 0.6933 0.3067 0.2500  4 Cl 2.88-3.03
Cl 0.3922 0.6559 0.0711  2 Zn 2.38-2.40
Cl 0.8780 0.7653 0.8952  1 Zn 2.22
Zn 0.8167 0.5122 0.8125  4 Cl 2.22-2.40
Cl 0.6078 0.3441 0.9289  2 Zn 2.38-2.40
Zn 0.1833 0.4878 0.1875  4 Cl 2.22-2.40
Cl 0.4375 0.0172 0.2921  1 Zn 2.28
Cl 0.9828 0.5625 0.2079  1 Zn 2.28
Cl 0.6559 0.3922 0.5711  2 Zn 2.38-2.40
Sn 0.3067 0.6933 0.7500  4 Cl 2.88-3.03
Cl 0.7653 0.8780 0.3952  1 Zn 2.22
Cl 0.2347 0.1220 0.6048  1 Zn 2.22
In 0.9370 0.0630 0.7500  6 Cl 3.08-3.38
Cl 0.0172 0.4375 0.7921  1 Zn 2.28
Zn 0.5122 0.8167 0.3125  4 Cl 2.22-2.40
Zn 0.4878 0.1833 0.6875  4 Cl 2.22-2.40
In 0.0630 0.9370 0.2500  6 Cl 3.08-3.38

Properties
- mass density (g cm⁻³) = 2.7
- SG = C2/c (15)
- crystal system = monoclinic
- formation energy from raw total energies (eV/atom) = -0.847

[4]
Density functional theory data (GGA-PBE) for a relaxed SrInCl2 crystal.

a = 6.3129 Å, b = 6.3129 Å, c = 6.3129 Å
α = 142.41°, β = 115.84°, γ = 76.80°
With the nearest neighbours (Å) after each atom.
Element x y z (fractional)
In 0.2500 0.7500 0.5000  8 Cl 3.60-3.89, 4 Sr 3.92
Cl 0.9496 0.9496 0.0000  2 Sr 2.83
Sr 0.7500 0.2500 0.5000  4 Cl 2.83
Cl 0.5504 0.5504 0.0000  2 Sr 2.83

Properties
- mass density (g cm⁻³) = 3.4
- SG = Immm (71)
- distance to the lowest polymorph of the same formula (kJ/mol of formula units) = 65
- crystal system = orthorhombic
- formation energy from raw total energies (eV/atom) = -1.368

[5]
Density functional theory data (GGA-PBE) for a relaxed SrInCl2 crystal.

a = 4.1226 Å, b = 4.1226 Å, c = 7.5072 Å
α = 90.00°, β = 90.00°, γ = 90.01°
With the nearest neighbours (Å) after each atom.
Element x y z (fractional)
Sr 0.5000 0.5000 0.8636  5 Cl 2.75-2.95
Cl 0.5000 0.5000 0.2300  1 Sr 2.75
Cl 0.0000 0.0000 0.9230  4 Sr 2.95, 1 In 3.30
In 0.0000 0.0000 0.4834  5 Cl 3.30-3.48

Properties
- mass density (g cm⁻³) = 3.6
- SG = P4mm (99)
- distance to the lowest polymorph of the same formula (kJ/mol of formula units) = 87
- crystal system = tetragonal
- formation energy from raw total energies (eV/atom) = -1.310

[6]
Density functional theory data (GGA-PBE) for a relaxed Sr3InCl crystal.

a = 5.7088 Å, b = 5.7088 Å, c = 5.7088 Å
α = 90.00°, β = 90.00°, γ = 90.00°
With the nearest neighbours (Å) after each atom.
Element x y z (fractional)
Cl 0.0000 0.0000 0.0000  6 Sr 2.85
Sr 0.5000 0.0000 0.0000  2 Cl 2.85
Sr 0.0000 0.0000 0.5000  2 Cl 2.85
Sr 0.0000 0.5000 0.0000  2 Cl 2.85
In 0.5000 0.5000 0.5000  12 Sr 4.04

Properties
- mass density (g cm⁻³) = 3.7
- SG = Pm-3m (221)
- distance to the lowest polymorph of the same formula (kJ/mol of formula units) = 0
- crystal system = cubic
- formation energy from raw total energies (eV/atom) = -0.714

[7]
Density functional theory data (GGA-PBE) for a relaxed SrIn3Cl crystal.

a = 5.6360 Å, b = 5.6360 Å, c = 5.6360 Å
α = 90.00°, β = 90.00°, γ = 90.00°
With the nearest neighbours (Å) after each atom.
Element x y z (fractional)
In 0.0000 0.0000 0.5000  2 Cl 2.82
In 0.5000 0.0000 0.0000  2 Cl 2.82
Sr 0.5000 0.5000 0.5000  12 In 3.99
In 0.0000 0.5000 0.0000  2 Cl 2.82
Cl 0.0000 0.0000 0.0000  6 In 2.82

Properties
- mass density (g cm⁻³) = 4.3
- SG = Pm-3m (221)
- distance to the lowest polymorph of the same formula (kJ/mol of formula units) = 0
- crystal system = cubic
- formation energy from raw total energies (eV/atom) = -0.174

[8]
Density functional theory data (GGA-PBE) for a relaxed SrIn3Cl crystal.

a = 6.4714 Å, b = 6.4714 Å, c = 6.4714 Å
α = 90.00°, β = 90.00°, γ = 90.00°
With the nearest neighbours (Å) after each atom.
Element x y z (fractional)
Sr 0.0000 0.0000 0.0000  6 In 3.24
Cl 0.5000 0.5000 0.5000  12 In 4.58
In 0.0000 0.0000 0.5000  2 Sr 3.24
In 0.0000 0.5000 0.0000  2 Sr 3.24
In 0.5000 0.0000 0.0000  2 Sr 3.24

Properties
- mass density (g cm⁻³) = 2.9
- SG = Pm-3m (221)
- distance to the lowest polymorph of the same formula (kJ/mol of formula units) = 316
- crystal system = cubic
- formation energy from raw total energies (eV/atom) = 0.481

[9]
Density functional theory data (GGA-PBE) for a relaxed SrIn6Cl12 crystal.

a = 8.5234 Å, b = 8.5234 Å, c = 8.5234 Å
α = 92.80°, β = 92.80°, γ = 92.80°
With the nearest neighbours (Å) after each atom.
Element x y z (fractional)
Cl 0.1210 0.3108 0.9018  2 In 2.82-2.91, 1 Sr 2.97
Cl 0.9018 0.1210 0.3108  2 In 2.82-2.91, 1 Sr 2.97
Cl 0.5240 0.3972 0.1755  3 In 2.70-2.93
Cl 0.0982 0.8790 0.6892  2 In 2.82-2.91, 1 Sr 2.97
Cl 0.1755 0.5240 0.3972  3 In 2.70-2.93
Cl 0.6028 0.8245 0.4760  3 In 2.70-2.93
Cl 0.4760 0.6028 0.8245  3 In 2.70-2.93
In 0.2738 0.5608 0.0889  5 Cl 2.70-2.93
In 0.5608 0.0889 0.2738  5 Cl 2.70-2.93
In 0.0889 0.2738 0.5608  5 Cl 2.70-2.93
Cl 0.8790 0.6892 0.0982  2 In 2.82-2.91, 1 Sr 2.97
Cl 0.3972 0.1755 0.5240  3 In 2.70-2.93
In 0.4392 0.9111 0.7262  5 Cl 2.70-2.93
In 0.9111 0.7262 0.4392  5 Cl 2.70-2.93
Sr 0.0000 0.0000 0.0000  6 Cl 2.97
In 0.7262 0.4392 0.9111  5 Cl 2.70-2.93
Cl 0.6892 0.0982 0.8790  2 In 2.82-2.91, 1 Sr 2.97
Cl 0.8245 0.4760 0.6028  3 In 2.70-2.93
Cl 0.3108 0.9018 0.1210  2 In 2.82-2.91, 1 Sr 2.97

Properties
- mass density (g cm⁻³) = 3.2
- SG = R-3 (148)
- crystal system = trigonal
- formation energy from raw total energies (eV/atom) = -1.044

[10]
Density functional theory data (GGA-PBE) for a relaxed SrInCl2 crystal.

a = 10.3900 Å, b = 10.3900 Å, c = 10.3900 Å
α = 23.65°, β = 23.65°, γ = 23.65°
With the nearest neighbours (Å) after each atom.
Element x y z (fractional)
Sr 0.5000 0.5000 0.5000  6 Cl 2.88
Cl 0.1169 0.1169 0.1169  3 Sr 2.88
In 0.0000 0.0000 0.0000  2 Cl 3.54
Cl 0.8831 0.8831 0.8831  3 Sr 2.88

Properties
- mass density (g cm⁻³) = 2.9
- SG = R-3m (166)
- distance to the lowest polymorph of the same formula (kJ/mol of formula units) = 0
- crystal system = trigonal
- formation energy from raw total energies (eV/atom) = -1.536

[11]
Density functional theory data (GGA-PBE) for a relaxed Sr2InCl crystal.

a = 3.8181 Å, b = 3.8181 Å, c = 8.7792 Å
α = 90.00°, β = 90.00°, γ = 90.01°
With the nearest neighbours (Å) after each atom.
Element x y z (fractional)
Cl 0.5000 0.5000 0.2500  8 Sr 3.51, 4 Cl 3.82
Sr 0.0000 0.0000 0.5052  4 In 3.45, 4 Cl 3.51, 4 Sr 3.82
In 0.5000 0.5000 0.7500  8 Sr 3.45, 4 In 3.82
Sr 0.0000 0.0000 0.9948  4 In 3.45, 4 Cl 3.51, 4 Sr 3.82

Properties
- mass density (g cm⁻³) = 4.2
- SG = P4/mmm (123)
- distance to the lowest polymorph of the same formula (kJ/mol of formula units) = 43
- crystal system = tetragonal
- formation energy from raw total energies (eV/atom) = -0.999

[12]
Density functional theory data (GGA-PBE) for a relaxed Sr2InCl crystal.

a = 5.9540 Å, b = 3.9201 Å, c = 5.9538 Å
α = 90.00°, β = 90.00°, γ = 90.00°
With the nearest neighbours (Å) after each atom.
Element x y z (fractional)
Sr 0.0000 0.2493 0.8747  2 Cl 2.98
In 0.5000 0.7498 0.8752  8 Sr 3.56-3.57, 2 In 3.92
Cl 0.0000 0.2508 0.3748  4 Sr 2.98
Sr 0.5000 0.2501 0.3752  2 Cl 2.98

Properties
- mass density (g cm⁻³) = 3.9
- SG = P4mm (99)
- distance to the lowest polymorph of the same formula (kJ/mol of formula units) = 25
- crystal system = tetragonal
- formation energy from raw total energies (eV/atom) = -1.048